Entry from Alexandria via LeMat-Bulk: a geometry-optimized Na2HgPd structure (PBE).

Cell lengths 4.899, 4.899, 4.911 Å; angles 60.08, 60.08, 60.00 degrees
Element x y z (fractional)
Pd (0.750, 0.750, 0.750)
Na (0.250, 0.250, 0.250)
Na (0.000, 0.000, 0.000)
Hg (0.500, 0.500, 0.500)

Computed properties:
Magnetization = 0.00 μB per formula unit
Space-group type = R3m (160)
Energy of formation from the pure elements = -0.18 eV per atom
V = 20.86 Å³ per atom
Energy = -2.2097 eV/atom